(1)
First-principles (PBE) data for crystalline PmScIn at its relaxed geometry, as listed in OQMD.

Cell lengths 7.2482, 7.2482, 7.2482 Å; angles 90.00, 90.00, 90.00 degrees
Closest atoms and distances in Å follow each position.
Positions (direct):
Pm 0.0000 0.0000 0.0000  4 In 3.14, 4 Sc 3.14
Pm 0.0000 0.5000 0.5000  4 In 3.14, 4 Sc 3.14
Pm 0.5000 0.0000 0.5000  4 In 3.14, 4 Sc 3.14
Pm 0.5000 0.5000 0.0000  4 In 3.14, 4 Sc 3.14
Sc 0.2500 0.2500 0.2500  4 Pm 3.14
Sc 0.2500 0.7500 0.7500  4 Pm 3.14
Sc 0.7500 0.2500 0.7500  4 Pm 3.14
Sc 0.7500 0.7500 0.2500  4 Pm 3.14
In 0.2500 0.2500 0.7500  4 Pm 3.14
In 0.2500 0.7500 0.2500  4 Pm 3.14
In 0.7500 0.2500 0.2500  4 Pm 3.14
In 0.7500 0.7500 0.7500  4 Pm 3.14

Calculated values
uncorrected energy	-0.154	Ha/atom
SG	No. 216
M_tot	0.0	μB per formula unit
energy relative to the lowest polymorph listed for this composition	462	meV per atom

(2)
First-principles (PBE) data for crystalline Tm2NbTl6 at its relaxed geometry, as listed in OQMD.

Cell lengths 8.7918, 8.7918, 3.4846 Å; angles 90.00, 90.00, 120.00 degrees
Closest atoms and distances in Å follow each position.
Positions (direct):
Tm 0.3333 0.6667 0.0000  9 Tl 3.19-3.28, 2 Tm 3.48
Tm 0.6667 0.3333 0.0000  9 Tl 3.19-3.28, 2 Tm 3.48
Nb 0.0000 0.0000 0.5000  9 Tl 3.02-3.27
Tl 0.0000 0.2806 0.0000  2 Nb 3.02, 2 Tm 3.19
Tl 0.0000 0.6283 0.5000  1 Nb 3.27, 4 Tm 3.28, 8 Tl 3.43-3.52
Tl 0.2806 0.0000 0.0000  2 Nb 3.02, 2 Tm 3.19
Tl 0.3717 0.3717 0.5000  1 Nb 3.27, 4 Tm 3.28, 8 Tl 3.43-3.52
Tl 0.6283 0.0000 0.5000  1 Nb 3.27, 4 Tm 3.28, 8 Tl 3.43-3.52
Tl 0.7194 0.7194 0.0000  2 Nb 3.02, 2 Tm 3.19

Calculated values
uncorrected energy	-0.128	Ha/atom
SG	No. 189
M_tot	2.0	μB per formula unit

(3)
First-principles (PBE) data for crystalline OsF4 at its relaxed geometry, as listed in OQMD.

Cell lengths 5.8542, 6.2670, 3.1845 Å; angles 90.00, 90.00, 90.00 degrees
Closest atoms and distances in Å follow each position.
Positions (direct):
Os 0.0000 0.0000 0.0000  6 F 1.88-2.02
Os 0.5000 0.5000 0.0000  6 F 1.88-2.02
F 0.0000 0.2994 0.0000  1 Os 1.88
F 0.0000 0.7006 0.0000  1 Os 1.88
F 0.2116 0.0000 0.5000  2 Os 2.02
F 0.2884 0.5000 0.5000  2 Os 2.02
F 0.5000 0.2006 0.0000  1 Os 1.88
F 0.5000 0.7994 0.0000  1 Os 1.88
F 0.7116 0.5000 0.5000  2 Os 2.02
F 0.7884 0.0000 0.5000  2 Os 2.02

Calculated values
uncorrected energy	-0.190	Ha/atom
SG	No. 65
M_tot	2.0	μB per formula unit